1.
Entry from the Alexandria database: a relaxed CsGeO2 crystal (PBE-GGA).

abc: 3.3302 3.3302 22.8087
angles: 90.00 90.00 120.00
With the nearest neighbours (Å) after each atom.
Positions (direct):
Cs: 0.0000 0.0000 0.0000  2 O 2.85
Cs: 0.3333 0.6667 0.6667  2 O 2.85
Cs: 0.6667 0.3333 0.3333  2 O 2.85
Ge: 0.0000 0.0000 0.5000  6 O 2.15
Ge: 0.3333 0.6667 0.1667  6 O 2.15
Ge: 0.6667 0.3333 0.8333  6 O 2.15
O: 0.0000 0.0000 0.1248  3 Ge 2.15
O: 0.0000 0.0000 0.8752  3 Ge 2.15
O: 0.3333 0.6667 0.5418  3 Ge 2.15
O: 0.3333 0.6667 0.7915  3 Ge 2.15
O: 0.6667 0.3333 0.2085  3 Ge 2.15
O: 0.6667 0.3333 0.4582  3 Ge 2.15

=====

2.
Entry from the Alexandria database: a relaxed CsGeOs2O8 crystal (PBE-GGA).

abc: 10.1796 10.1796 10.1796
angles: 30.84 30.84 30.84
With the nearest neighbours (Å) after each atom.
Positions (direct):
Cs: 0.0000 0.0000 0.0000  6 O 3.28
Ge: 0.5000 0.5000 0.5000  6 O 2.24
Os: 0.2379 0.2379 0.2379  4 O 1.78-1.80
Os: 0.7621 0.7621 0.7621  4 O 1.78-1.80
O: 0.1125 0.4952 0.7449  1 Os 1.80
O: 0.2551 0.5048 0.8875  1 Os 1.80
O: 0.2990 0.2990 0.2990  1 Os 1.78
O: 0.4952 0.7449 0.1125  1 Os 1.80
O: 0.5048 0.8875 0.2551  1 Os 1.80
O: 0.7010 0.7010 0.7010  1 Os 1.78
O: 0.7449 0.1125 0.4952  1 Os 1.80
O: 0.8875 0.2551 0.5048  1 Os 1.80

=====

3.
Entry from the Alexandria database: a relaxed Cs2GeP4O13 crystal (PBE-GGA).

abc: 5.0702 8.0573 16.2392
angles: 84.93 84.32 80.48
With the nearest neighbours (Å) after each atom.
Positions (direct):
Cs: 0.1810 0.2410 0.4892  6 O 3.07-3.41
Cs: 0.2237 0.2045 0.9727  4 O 2.98-3.18
Cs: 0.7763 0.7955 0.0273  4 O 2.98-3.18
Cs: 0.8190 0.7590 0.5108  6 O 3.07-3.41
Ge: 0.0450 0.4386 0.2424  6 O 1.90-1.92
Ge: 0.9550 0.5614 0.7576  6 O 1.90-1.92
P: 0.1624 0.9049 0.6966  4 O 1.48-1.61
P: 0.1804 0.8132 0.2125  4 O 1.48-1.61
P: 0.3885 0.7152 0.8462  4 O 1.49-1.63
P: 0.4751 0.5884 0.3355  4 O 1.49-1.64
P: 0.5249 0.4116 0.6645  4 O 1.49-1.64
P: 0.6115 0.2848 0.1538  4 O 1.49-1.63
P: 0.8196 0.1868 0.7875  4 O 1.48-1.61
P: 0.8376 0.0951 0.3034  4 O 1.48-1.61
O: 0.0130 0.0921 0.7152  2 P 1.61
O: 0.0429 0.6643 0.1950  1 P 1.54
O: 0.0515 0.2122 0.2893  1 P 1.54
O: 0.2194 0.4805 0.6712  1 P 1.55
O: 0.2246 0.5766 0.8285  1 P 1.56
O: 0.2435 0.9246 0.1385  1 P 1.48
O: 0.3000 0.7945 0.9259  1 P 1.49
O: 0.3020 0.9179 0.6123  1 P 1.48
O: 0.3083 0.3603 0.1571  1 P 1.55
O: 0.3159 0.4513 0.3132  1 P 1.56
O: 0.3615 0.8583 0.7683  2 P 1.60-1.63
O: 0.3807 0.6575 0.4172  1 P 1.49
O: 0.4413 0.7378 0.2596  2 P 1.60-1.64
O: 0.5587 0.2622 0.7404  2 P 1.60-1.64
O: 0.6193 0.3425 0.5828  1 P 1.49
O: 0.6385 0.1417 0.2317  2 P 1.60-1.63
O: 0.6841 0.5487 0.6868  1 P 1.56
O: 0.6917 0.6397 0.8429  1 P 1.55
O: 0.6980 0.0821 0.3877  1 P 1.48
O: 0.7000 0.2055 0.0741  1 P 1.49
O: 0.7565 0.0754 0.8615  1 P 1.48
O: 0.7754 0.4234 0.1715  1 P 1.56
O: 0.7806 0.5195 0.3288  1 P 1.55
O: 0.9485 0.7878 0.7107  1 P 1.54
O: 0.9571 0.3357 0.8050  1 P 1.54
O: 0.9870 0.9079 0.2848  2 P 1.61

=====

The records above give, respectively, formation energy from raw total energies values of -0.78; -1.01; -2.14 eV per atom.